AcLa3Sn: optimized geometry, PBE.

a = 7.267 Å, b = 7.267 Å, c = 7.267 Å
α = 86.10°, β = 86.10°, γ = 86.10°
Fractional positions:
Ac  0.250  0.250  0.250
Ac  0.750  0.750  0.750
La  0.116  0.750  0.384
La  0.250  0.616  0.884
La  0.384  0.116  0.750
La  0.616  0.884  0.250
La  0.750  0.384  0.116
La  0.884  0.250  0.616
Sn  0.000  0.000  0.000
Sn  0.500  0.500  0.500


Ac3LaSn4: optimized geometry, PBE.

a = 10.126 Å, b = 10.126 Å, c = 10.126 Å
α = 154.35°, β = 137.44°, γ = 50.36°
Fractional positions:
Ac  0.000  0.000  0.000
Ac  0.300  0.800  0.500
Ac  0.700  0.200  0.500
La  0.500  0.500  0.000
Sn  0.071  0.372  0.699
Sn  0.326  0.628  0.699
Sn  0.674  0.372  0.301
Sn  0.929  0.628  0.301


no.,total energy (eV per atom),M_tot (μB/atom),ΔE_f (eV/atom)
1,-4.77,0.00,-0.1958
2,-4.72,0.00,-0.5647